Entry 1:
VASP calculation (GGA-PBE) on an optimized crystal structure of Ce3PmSm2Sb6.

Properties
- Crystal system: monoclinic
- Magnetization: 2.34 Bohr magnetons per cell
- Total DFT energy (no corrections): -5.843 eV/atom
- Energy relative to the elements, uncorrected: -1.116 eV/atom

abc: 7.775 7.775 7.777
angles: 99.59 99.59 119.99
Each line ends with the local moment (μB).
Fractional coordinates of all 12 atoms:
1 Sb 0.583 0.917 0.750  -0.02
2 Ce 0.500 0.500 0.500  0.74
3 Sb 0.417 0.083 0.250  -0.02
4 Ce 0.834 0.166 0.500  0.74
5 Ce 0.166 0.834 0.500  0.74
6 Sm 0.667 0.333 0.000  0.00
7 Sb 0.083 0.417 0.250  -0.02
8 Sb 0.749 0.749 0.250  -0.02
9 Sb 0.251 0.251 0.750  -0.02
10 Sb 0.917 0.583 0.750  -0.02
11 Pm 0.000 0.000 0.000  0.00
12 Sm 0.333 0.667 0.000  0.00

---

Entry 2:
VASP calculation (GGA-PBE) on an optimized crystal structure of KLaMg2Ir.

Properties
- Crystal system: tetragonal
- Magnetization: 0.00 Bohr magnetons per cell
- Total DFT energy (no corrections): -2.964 eV/atom
- Formation enthalpy at 0 K: 0.65 eV/atom
- Distance to the lowest polymorph of the same formula: 20.07 kcal/mol of atoms

abc: 6.410 5.043 6.410
angles: 90.00 90.00 90.00
Fractional coordinates of all 5 atoms:
1 Mg 0.000 0.000 0.500
2 Mg 0.500 0.000 0.000
3 La 0.000 0.000 0.000
4 Ir 0.000 0.500 0.000
5 K 0.500 0.500 0.500

---

Entry 3:
VASP calculation (GGA-PBE) on an optimized crystal structure of HfGaNi.

Properties
- Crystal system: cubic
- Magnetization: 0.00 Bohr magnetons per cell
- Total DFT energy (no corrections): -6.702 eV/atom
- Formation enthalpy at 0 K: -0.45 eV/atom

abc: 4.187 4.187 4.187
angles: 60.00 60.00 60.00
Fractional coordinates of all 3 atoms:
1 Ga 0.500 0.500 0.500
2 Ni 0.250 0.250 0.250
3 Hf 0.000 0.000 0.000

---

Entry 4:
VASP calculation (GGA-PBE) on an optimized crystal structure of Zr3CdN.

Properties
- Crystal system: monoclinic
- Magnetization: 0.00 Bohr magnetons per cell
- Total DFT energy (no corrections): -7.470 eV/atom
- Energy relative to the elements, uncorrected: -0.493 eV/atom

abc: 14.242 8.765 8.765
angles: 110.25 138.46 41.54
Fractional coordinates of all 20 atoms:
1 Cd 0.750 0.408 0.908
2 N 0.808 0.923 0.212
3 Zr 0.132 0.288 0.214
4 Zr 0.580 0.656 0.452
5 Zr 0.380 0.102 0.116
6 Zr 0.632 0.286 0.212
7 Cd 0.250 0.883 0.383
8 N 0.308 0.288 0.577
9 Cd 0.250 0.592 0.092
10 Zr 0.120 0.616 0.602
11 Zr 0.620 0.898 0.884
12 Zr 0.868 0.712 0.786
13 N 0.192 0.077 0.788
14 Zr 0.880 0.384 0.398
15 Zr 0.920 0.952 0.156
16 N 0.692 0.712 0.423
17 Zr 0.368 0.714 0.788
18 Zr 0.420 0.344 0.548
19 Cd 0.750 0.117 0.617
20 Zr 0.080 0.048 0.844

---

Entry 5:
VASP calculation (GGA-PBE) on an optimized crystal structure of AcPm8Ho3.

Properties
- Crystal system: monoclinic
- Magnetization: 0.00 Bohr magnetons per cell
- Total DFT energy (no corrections): -4.618 eV/atom
- Formation enthalpy at 0 K: 0.04 eV/atom

abc: 8.672 8.672 8.684
angles: 94.97 100.64 136.75
Fractional coordinates of all 12 atoms:
1 Ho 0.830 0.330 0.500
2 Ho 0.499 0.752 0.253
3 Pm 0.174 0.836 0.338
4 Pm 0.168 0.255 0.421
5 Pm 0.168 0.746 0.913
6 Pm 0.834 0.255 0.087
7 Pm 0.834 0.747 0.579
8 Ac 0.833 0.833 0.000
9 Pm 0.501 0.332 0.169
10 Pm 0.163 0.332 0.831
11 Ho 0.500 0.247 0.747
12 Pm 0.498 0.836 0.662

---

Entry 6:
VASP calculation (GGA-PBE) on an optimized crystal structure of InCo2Te.

Properties
- Crystal system: monoclinic
- Magnetization: 1.18 Bohr magnetons per cell
- Total DFT energy (no corrections): -4.746 eV/atom
- Distance to the lowest polymorph of the same formula: 2.41 kcal/mol of atoms
- Energy relative to the elements, uncorrected: 0.276 eV/atom

abc: 4.403 4.403 7.116
angles: 61.79 61.79 40.66
Each line ends with the local moment (μB).
Fractional coordinates of all 4 atoms:
1 In 0.750 0.750 0.750  -0.03
2 Te 0.250 0.250 0.250  -0.01
3 Co 0.039 0.039 0.089  0.63
4 Co 0.461 0.461 0.411  0.63